DFT (GGA-PBE) results for a relaxed KBaBe crystal.

Computed properties:
Symmetry: No. 216
Volume, Å³/cell: 131
Formation energy from the elements, meV/atom: 665
Mass density, g/cm³: 2.36
Fermi-level density of states, states/eV per atom: 1.401
Total moment, μB per formula unit: 0.4

Cell: 5.6963 5.6963 5.6963 Å, 60.00 60.00 60.00°
Atoms (fractional coordinates):
Be  0.7500  0.7500  0.7500
K  0.0000  0.0000  0.0000
Ba  0.5000  0.5000  0.5000



DFT (GGA-PBE) results for a relaxed KBaBe2 crystal.

Computed properties:
Symmetry: No. 6
Volume, Å³/cell: 121
Formation energy from the elements, meV/atom: 546
Mass density, g/cm³: 2.67
Fermi-level density of states, states/eV per atom: 1.093
Total moment, μB per formula unit: 0.0

Cell: 4.2836 5.6898 5.7251 Å, 60.00 90.00 90.00°
Atoms (fractional coordinates):
Be  0.0000  0.1271  0.1227
Be  0.5000  0.1235  0.1265
K  0.0000  0.4591  0.4577
Ba  0.5000  0.7903  0.7930



DFT (GGA-PBE) results for a relaxed KBa4Be crystal.

Computed properties:
Symmetry: No. 216
Volume, Å³/cell: 350
Formation energy from the elements, meV/atom: 750
Mass density, g/cm³: 2.83
Fermi-level density of states, states/eV per atom: 2.326
Total moment, μB per formula unit: 0.0

Cell: 7.9114 7.9114 7.9114 Å, 60.00 60.00 60.00°
Atoms (fractional coordinates):
K  0.0000  0.0000  0.0000
Ba  0.8718  0.3761  0.3761
Ba  0.3761  0.3761  0.8718
Ba  0.3761  0.8718  0.3761
Ba  0.3761  0.3761  0.3761
Be  0.7500  0.7500  0.7500



DFT (GGA-PBE) results for a relaxed KBa3Be crystal.

Computed properties:
Symmetry: No. 221
Volume, Å³/cell: 284
Formation energy from the elements, meV/atom: 301
Mass density, g/cm³: 2.69
Fermi-level density of states, states/eV per atom: 1.073
Total moment, μB per formula unit: 0.0

Cell: 6.5710 6.5710 6.5710 Å, 90.00 90.00 90.00°
Atoms (fractional coordinates):
Be  0.0000  0.0000  0.0000
K  0.5000  0.5000  0.5000
Ba  0.0000  0.5000  0.0000
Ba  0.0000  0.0000  0.5000
Ba  0.5000  0.0000  0.0000